Entry 1:
A plane-wave DFT calculation with PBE was carried out for a relaxed LaErAs2Pt2 crystal.

Spin magnetization   0.0 Bohr magnetons per cell
Calculated volume   21.13 Å³/atom
E   -6.4470 eV per atom

Cell lengths 4.3339, 4.3339, 15.5919 Å; angles 90.00, 90.00, 120.00 degrees
Closest atoms and distances in Å follow each position.
Fractional positions:
La (0.0000, 0.0000, 0.0000)  6 As 3.14, 6 Pt 3.38
La (0.0000, 0.0000, 0.5000)  6 As 3.14, 6 Pt 3.38
Er (0.0000, 0.0000, 0.2500)  6 Pt 2.98, 6 As 3.20
Er (0.0000, 0.0000, 0.7500)  6 Pt 2.98, 6 As 3.20
As (0.3333, 0.6667, 0.1218)  3 Pt 2.53
As (0.3333, 0.6667, 0.3782)  3 Pt 2.53
As (0.6667, 0.3333, 0.6218)  3 Pt 2.53
As (0.6667, 0.3333, 0.8782)  3 Pt 2.53
Pt (0.3333, 0.6667, 0.6457)  3 As 2.53
Pt (0.3333, 0.6667, 0.8543)  3 As 2.53
Pt (0.6667, 0.3333, 0.1457)  3 As 2.53
Pt (0.6667, 0.3333, 0.3543)  3 As 2.53


Entry 2:
A plane-wave DFT calculation with PBE was carried out for a relaxed DyY2Tm2Lu2Te2Pd2 crystal.

Spin magnetization   0.0 Bohr magnetons per cell
Calculated volume   26.56 Å³/atom
E   -5.6067 eV per atom

Cell lengths 9.3424, 9.3424, 9.3424 Å; angles 155.69, 66.99, 118.65 degrees
Closest atoms and distances in Å follow each position.
Fractional positions:
Dy (0.0000, 0.0000, 0.0000)  3 Te 3.20-3.24
Y (0.6166, 0.2611, 0.3555)  2 Pd 2.96, 2 Te 3.14
Y (0.9056, 0.2611, 0.6445)  2 Pd 2.96, 2 Te 3.14
Tm (0.2846, 0.4143, 0.8703)  2 Pd 2.84, 3 Te 3.09-3.16
Tm (0.5441, 0.4143, 0.1297)  2 Pd 2.84, 3 Te 3.09-3.16
Lu (0.3059, 0.6235, 0.6824)  2 Pd 2.82, 1 Te 3.14
Lu (0.9411, 0.6235, 0.3176)  2 Pd 2.82, 1 Te 3.14
Te (0.2643, 0.7643, 0.5000)  2 Lu 3.14, 4 Tm 3.16, 2 Dy 3.20
Te (0.6601, 0.6601, 0.0000)  2 Tm 3.09, 4 Y 3.14, 1 Dy 3.24
Pd (0.1728, 0.9333, 0.2394)  2 Lu 2.82, 2 Tm 2.84, 2 Y 2.96
Pd (0.6939, 0.9333, 0.7606)  2 Lu 2.82, 2 Tm 2.84, 2 Y 2.96


Entry 3:
A plane-wave DFT calculation with PBE was carried out for a relaxed InCu9 crystal.

Calculated volume   15.60 Å³/atom
E   -3.5620 eV per atom

Cell lengths 2.6231, 3.4822, 34.1496 Å; angles 90.00, 90.00, 90.00 degrees
Closest atoms and distances in Å follow each position.
Fractional positions:
In (0.2500, 0.2500, 0.1252)  2 In 2.62, 4 Cu 2.86
In (0.7500, 0.7500, 0.8748)  2 In 2.62, 4 Cu 2.86
Cu (0.2500, 0.2500, 0.2170)  11 Cu 2.53-2.62
Cu (0.2500, 0.2500, 0.2929)  12 Cu 2.54-2.62
Cu (0.2500, 0.2500, 0.3686)  12 Cu 2.53-2.62
Cu (0.2500, 0.2500, 0.4435)  12 Cu 2.52-2.62
Cu (0.2500, 0.2500, 0.5187)  12 Cu 2.53-2.62
Cu (0.2500, 0.2500, 0.5937)  12 Cu 2.52-2.62
Cu (0.2500, 0.2500, 0.6690)  12 Cu 2.53-2.62
Cu (0.2500, 0.2500, 0.7450)  12 Cu 2.54-2.62
Cu (0.2500, 0.2500, 0.8207)  7 Cu 2.53-2.62
Cu (0.7500, 0.7500, 0.1793)  7 Cu 2.53-2.62
Cu (0.7500, 0.7500, 0.2550)  12 Cu 2.54-2.62
Cu (0.7500, 0.7500, 0.3310)  12 Cu 2.53-2.62
Cu (0.7500, 0.7500, 0.4063)  12 Cu 2.52-2.62
Cu (0.7500, 0.7500, 0.4813)  12 Cu 2.53-2.62
Cu (0.7500, 0.7500, 0.5565)  12 Cu 2.52-2.62
Cu (0.7500, 0.7500, 0.6314)  12 Cu 2.53-2.62
Cu (0.7500, 0.7500, 0.7071)  12 Cu 2.54-2.62
Cu (0.7500, 0.7500, 0.7830)  11 Cu 2.53-2.62


Entry 4:
A plane-wave DFT calculation with PBE was carried out for a relaxed NaThInSe3 crystal.

Spin magnetization   0.0 Bohr magnetons per cell
Calculated volume   31.77 Å³/atom
E   -4.8446 eV per atom

Cell lengths 7.7694, 7.7694, 11.8709 Å; angles 90.00, 90.00, 147.86 degrees
Closest atoms and distances in Å follow each position.
Fractional positions:
Na (0.1217, 0.8783, 0.7500)  4 Se 2.83-3.09
Na (0.8783, 0.1217, 0.2500)  4 Se 2.83-3.09
Th (0.5000, 0.5000, 0.0000)  6 Se 2.90-2.99
Th (0.5000, 0.5000, 0.5000)  6 Se 2.90-2.99
In (0.1693, 0.8307, 0.2500)  4 Se 3.03-3.16
In (0.8307, 0.1693, 0.7500)  4 Se 3.03-3.16
Se (0.1296, 0.8704, 0.5117)  1 Na 2.83, 2 Th 2.90, 1 In 3.16
Se (0.1296, 0.8704, 0.9883)  1 Na 2.83, 2 Th 2.90, 1 In 3.16
Se (0.4734, 0.5266, 0.7500)  2 Th 2.99, 2 In 3.03, 2 Na 3.09
Se (0.5266, 0.4734, 0.2500)  2 Th 2.99, 2 In 3.03, 2 Na 3.09
Se (0.8704, 0.1296, 0.0117)  1 Na 2.83, 2 Th 2.90, 1 In 3.16
Se (0.8704, 0.1296, 0.4883)  1 Na 2.83, 2 Th 2.90, 1 In 3.16


Entry 5:
A plane-wave DFT calculation with PBE was carried out for a relaxed Pm2TmN3 crystal.

Spin magnetization   0.0 Bohr magnetons per cell
Calculated volume   15.48 Å³/atom
E   -8.0302 eV per atom

Cell lengths 3.5247, 3.5247, 8.6299 Å; angles 90.00, 90.00, 120.00 degrees
Closest atoms and distances in Å follow each position.
Fractional positions:
Pm (0.3333, 0.6667, 0.3280)  6 N 2.52
Pm (0.6667, 0.3333, 0.6720)  6 N 2.52
Tm (0.0000, 0.0000, 0.0000)  6 N 2.44
N (0.0000, 0.0000, 0.5000)  6 Pm 2.52
N (0.3333, 0.6667, 0.8445)  3 Tm 2.44, 3 Pm 2.52
N (0.6667, 0.3333, 0.1555)  3 Tm 2.44, 3 Pm 2.52


Entry 6:
A plane-wave DFT calculation with PBE was carried out for a relaxed Nd3HgO crystal.

Spin magnetization   0.0 Bohr magnetons per cell
Calculated volume   24.23 Å³/atom
E   -5.2438 eV per atom

Cell lengths 6.9967, 6.9967, 6.9967 Å; angles 119.90, 90.03, 120.07 degrees
Closest atoms and distances in Å follow each position.
Fractional positions:
Nd (0.2378, 0.0000, 0.7378)  2 O 2.48
Nd (0.2378, 0.5000, 0.2378)  2 O 2.48
Nd (0.2745, 0.0245, 0.2500)  2 O 2.48
Nd (0.7255, 0.9755, 0.7500)  2 O 2.48
Nd (0.7622, 0.0000, 0.2622)  2 O 2.48
Nd (0.7622, 0.5000, 0.7622)  2 O 2.48
Hg (0.2493, 0.4993, 0.7500)  12 Nd 3.33-3.66
Hg (0.7507, 0.5007, 0.2500)  12 Nd 3.33-3.66
O (0.0000, 0.0000, 0.0000)  6 Nd 2.48
O (0.5000, 0.0000, 0.5000)  6 Nd 2.48


Entry 7:
A plane-wave DFT calculation with PBE was carried out for a relaxed NbPb crystal.

Spin magnetization   0.2 Bohr magnetons per cell
Calculated volume   23.85 Å³/atom
E   -6.0915 eV per atom

Cell lengths 4.0707, 4.0707, 4.0707 Å; angles 60.00, 60.00, 60.00 degrees
Closest atoms and distances in Å follow each position.
Fractional positions:
Nb (0.0000, 0.0000, 0.0000)  6 Pb 2.88
Pb (0.5000, 0.5000, 0.5000)  6 Nb 2.88


Entry 8:
A plane-wave DFT calculation with PBE was carried out for a relaxed DyZnMo crystal.

Spin magnetization   0.7 Bohr magnetons per cell
Calculated volume   21.45 Å³/atom
E   -4.9655 eV per atom
DFT formation energy   606 meV per atom

Cell lengths 4.4983, 4.4983, 4.4983 Å; angles 60.00, 60.00, 60.00 degrees
Closest atoms and distances in Å follow each position.
Fractional positions:
Dy (0.0000, 0.0000, 0.0000)  4 Zn 2.75
Zn (0.2500, 0.2500, 0.2500)  4 Mo 2.75, 4 Dy 2.75
Mo (0.5000, 0.5000, 0.5000)  4 Zn 2.75


Entry 9:
A plane-wave DFT calculation with PBE was carried out for a relaxed MgCdNO crystal.

Calculated volume   11.54 Å³/atom
E   -4.5962 eV per atom

Cell lengths 4.4326, 4.4326, 4.6973 Å; angles 90.00, 90.00, 90.00 degrees
Closest atoms and distances in Å follow each position.
Fractional positions:
Mg (0.2500, 0.2500, 0.0008)  4 O 2.22, 2 N 2.35
Mg (0.7500, 0.7500, 0.9992)  4 O 2.22, 2 N 2.35
Cd (0.2500, 0.7500, 0.5000)  4 N 2.22, 2 O 2.35
Cd (0.7500, 0.2500, 0.5000)  4 N 2.22, 2 O 2.35
N (0.2500, 0.2500, 0.5015)  4 Cd 2.22, 2 Mg 2.35
N (0.7500, 0.7500, 0.4985)  4 Cd 2.22, 2 Mg 2.35
O (0.2500, 0.7500, 0.0000)  4 Mg 2.22, 2 Cd 2.35
O (0.7500, 0.2500, 0.0000)  4 Mg 2.22, 2 Cd 2.35


Entry 10:
A plane-wave DFT calculation with PBE was carried out for a relaxed YLuTlCo crystal.

Spin magnetization   0.0 Bohr magnetons per cell
Calculated volume   20.93 Å³/atom
E   -5.0341 eV per atom

Cell lengths 4.9104, 4.9104, 4.9104 Å; angles 60.00, 60.00, 60.00 degrees
Closest atoms and distances in Å follow each position.
Fractional positions:
Y (0.0000, 0.0000, 0.0000)  4 Lu 3.01, 4 Tl 3.01
Lu (0.7500, 0.7500, 0.7500)  4 Y 3.01, 4 Co 3.01
Tl (0.2500, 0.2500, 0.2500)  4 Co 3.01, 4 Y 3.01
Co (0.5000, 0.5000, 0.5000)  4 Lu 3.01, 4 Tl 3.01


Entry 11:
A plane-wave DFT calculation with PBE was carried out for a relaxed NaHgMoIr crystal.

Spin magnetization   0.0 Bohr magnetons per cell
Calculated volume   17.25 Å³/atom
E   -4.8069 eV per atom

Cell lengths 4.6040, 4.6040, 4.6040 Å; angles 60.00, 60.00, 60.00 degrees
Closest atoms and distances in Å follow each position.
Fractional positions:
Na (0.0000, 0.0000, 0.0000)  4 Hg 2.82, 4 Ir 2.82
Hg (0.2500, 0.2500, 0.2500)  4 Mo 2.82, 4 Na 2.82
Mo (0.5000, 0.5000, 0.5000)  4 Hg 2.82, 4 Ir 2.82
Ir (0.7500, 0.7500, 0.7500)  4 Mo 2.82, 4 Na 2.82


Entry 12:
A plane-wave DFT calculation with PBE was carried out for a relaxed TcAs2Pt crystal.

Spin magnetization   0.0 Bohr magnetons per cell
Calculated volume   16.29 Å³/atom
E   -6.0292 eV per atom

Cell lengths 4.5164, 4.5164, 4.5164 Å; angles 60.00, 60.00, 60.00 degrees
Closest atoms and distances in Å follow each position.
Fractional positions:
Tc (0.0000, 0.0000, 0.0000)  4 As 2.77, 4 Pt 2.77
As (0.5000, 0.5000, 0.5000)  4 As 2.77, 4 Pt 2.77
As (0.7500, 0.7500, 0.7500)  4 Tc 2.77, 4 As 2.77
Pt (0.2500, 0.2500, 0.2500)  4 As 2.77, 4 Tc 2.77